The following is a PBE calculation of a relaxed SmY3Hg4 crystal, from Alexandria.

a = 5.268 Å, b = 7.573 Å, c = 10.537 Å
α = 90.00°, β = 90.00°, γ = 90.00°
Last column: magnetic moment on the atom in μB.
Element x y z (fractional)
Y 0.000 0.000 0.000  0.05
Y 0.000 0.000 0.500  0.05
Y 0.500 0.000 0.750  0.04
Y 0.500 0.000 0.250  0.04
Y 0.500 0.500 0.750  0.12
Y 0.500 0.500 0.250  0.12
Hg 0.500 0.755 0.000  0.01
Hg 0.500 0.755 0.500  0.01
Hg 0.500 0.245 0.000  0.01
Hg 0.500 0.245 0.500  0.01
Hg 0.000 0.755 0.750  0.01
Hg 0.000 0.755 0.250  0.01
Hg 0.000 0.245 0.250  0.01
Hg 0.000 0.245 0.750  0.01
Sm 0.000 0.500 0.000  0.11
Sm 0.000 0.500 0.500  0.11

Energy relative to the elements, meV per atom: -500
Symmetry: P4/mmm (123)
D(E_F), states/eV/f.u.: 8.2